PBE Sr2NiHg, relaxed; space-group type = No. 8; energy = -0.180 Ry/atom; N(E_F) = 2.753 states/eV/cell; magnetization = 0.00 μB/f.u.
1.0
6.6394 0.2332 0.4658
5.4154 3.8483 0.4658
1.6659 0.5641 4.8883
Sr Ni Hg
2 1 1
Cartesian
11.6666 3.9501 1.0810
10.3536 3.5056 4.3403
3.1332 1.0609 1.5648
7.4825 2.5334 2.6752